[1]
A geometry-optimized Dy4Si2Te structure, computed with GGA-PBE.

Lattice parameters (Å, degrees): 12.2252 12.2303 12.2370 90.00 90.00 90.00
With the nearest neighbours (Å) after each atom.
Space group Fddd (No. 70, origin choice 2)
Symmetry-distinct sites (fractional):
Dy: 0.0193 0.0194 0.2305  3 Si 2.84, 1 Te 3.06
Si: 0.0000 0.0000 0.0000  6 Dy 2.84
Te: 0.1250 0.1250 0.6250  4 Dy 3.06

Formation energy (no corrections) = -668 meV/atom
Total magnetization = 0.0000 μB per atom
Density = 6.1 g cm⁻³



[2]
A geometry-optimized Dy3SiTe2 structure, computed with GGA-PBE.

Lattice parameters (Å, degrees): 7.4016 12.8190 7.4978 90.00 109.15 90.00
With the nearest neighbours (Å) after each atom.
Space group C2/m (No. 12)
Symmetry-distinct sites (fractional):
Dy: 0.2181 0.0000 0.2202  2 Si 2.87, 4 Te 3.04-3.17
Dy: 0.2470 0.1774 0.7743  2 Si 2.87, 3 Te 3.08-3.21
Si: 0.0000 0.1680 0.0000  6 Dy 2.87
Te: 0.0000 0.0000 0.5000  6 Dy 3.04-3.21
Te: 0.0000 0.3405 0.5000  6 Dy 3.08-3.21
Te: 0.0000 0.5000 0.0000  6 Dy 3.06-3.08

ΔE to the lowest computed polymorph = 0.000 eV/atom
Formation energy (no corrections) = -1224 meV/atom
Total magnetization = 0.0000 μB per atom
Density = 7.6 g cm⁻³



[3]
A geometry-optimized Dy3SiTe6 structure, computed with GGA-PBE.

Lattice parameters (Å, degrees): 12.0471 14.9015 7.2617 90.00 90.00 90.00
With the nearest neighbours (Å) after each atom.
Space group Cmc2_1 (No. 36)
Symmetry-distinct sites (fractional):
Dy: 0.0000 0.0937 0.0000  6 Te 3.06-3.15
Dy: 0.1809 0.4035 0.1099  7 Te 3.04-3.26
Si: 0.0000 0.2968 0.6510  4 Te 2.63-2.69
Te: 0.0000 0.2798 0.2819  1 Si 2.69
Te: 0.0000 0.4614 0.7976  1 Si 2.67
Te: 0.1633 0.0385 0.3031  4 Dy 3.04-3.13
Te: 0.1703 0.2318 0.8332  1 Si 2.63

Formation energy (no corrections) = -967 meV/atom
Total magnetization = 0.0000 μB per atom
Density = 6.5 g cm⁻³



[4]
A geometry-optimized Dy3SiTe2 structure, computed with GGA-PBE.

Lattice parameters (Å, degrees): 7.5251 12.8208 7.3746 90.00 109.66 90.00
With the nearest neighbours (Å) after each atom.
Space group C2/c (No. 15)
Symmetry-distinct sites (fractional):
Dy: 0.2142 0.0728 0.4942  2 Si 2.87, 3 Te 3.05-3.17
Dy: 0.2500 0.2500 0.0000  2 Si 2.97, 4 Te 3.05
Si: 0.0000 0.0902 0.7500  6 Dy 2.87-2.97
Te: 0.0000 0.2596 0.2500  6 Dy 3.05-3.17
Te: 0.0000 0.4193 0.7500  6 Dy 3.05-3.24

ΔE to the lowest computed polymorph = 0.016 eV/atom
Formation energy (no corrections) = -1208 meV/atom
Total magnetization = 0.0000 μB per atom
Density = 7.6 g cm⁻³



[5]
A geometry-optimized Dy5Si2Te structure, computed with GGA-PBE.

Lattice parameters (Å, degrees): 7.7980 7.7980 13.3837 90.00 90.00 90.00
With the nearest neighbours (Å) after each atom.
Space group I4/mcm (No. 140)
Symmetry-distinct sites (fractional):
Dy: 0.0000 0.0000 0.0000  4 Si 2.98
Dy: 0.1548 0.3452 0.1396  3 Si 2.88-3.01
Si: 0.1470 0.3530 0.5000  8 Dy 2.88-3.01
Te: 0.0000 0.0000 0.2500  10 Dy 3.30-3.35

Formation energy (no corrections) = -744 meV/atom
Total magnetization = 0.0010 μB per atom
Density = 8.1 g cm⁻³



[6]
A geometry-optimized Dy5SiTe2 structure, computed with GGA-PBE.

Lattice parameters (Å, degrees): 5.8896 12.2493 13.7515 90.00 90.00 90.00
With the nearest neighbours (Å) after each atom.
Space group Cmcm (No. 63)
Symmetry-distinct sites (fractional):
Dy: 0.0000 0.0538 0.1243  1 Si 2.77, 1 Te 3.00
Dy: 0.0000 0.3153 0.7500  2 Si 3.00, 2 Te 3.06
Dy: 0.0000 0.3817 0.0988  1 Si 2.79, 2 Te 3.12
Si: 0.0000 0.2301 0.2500  6 Dy 2.77-3.00
Te: 0.0000 0.1882 0.5585  6 Dy 3.00-3.21

Formation energy (no corrections) = -629 meV/atom
Total magnetization = 0.0000 μB per atom
Density = 7.3 g cm⁻³



[7]
A geometry-optimized Dy2SiTe structure, computed with GGA-PBE.

Lattice parameters (Å, degrees): 4.2199 4.2199 21.2689 90.00 90.00 120.00
With the nearest neighbours (Å) after each atom.
Space group R-3m (No. 166, hexagonal axes)
Symmetry-distinct sites (fractional):
Dy: 0.0000 0.0000 0.2397  3 Si 2.89, 3 Te 3.15
Si: 0.0000 0.0000 0.5000  6 Dy 2.89
Te: 0.0000 0.0000 0.0000  6 Dy 3.15

ΔE to the lowest computed polymorph = 0.000 eV/atom
Formation energy (no corrections) = -1094 meV/atom
Total magnetization = 0.0000 μB per atom
Density = 7.3 g cm⁻³



[8]
A geometry-optimized Dy3SiTe structure, computed with GGA-PBE.

Lattice parameters (Å, degrees): 4.1058 22.3259 6.0302 90.00 90.00 90.00
With the nearest neighbours (Å) after each atom.
Space group Cmcm (No. 63)
Symmetry-distinct sites (fractional):
Dy: 0.0000 0.0000 0.0000  2 Dy 3.02, 4 Te 3.23
Dy: 0.0000 0.2047 0.2500  4 Si 2.86-3.02
Dy: 0.0000 0.3767 0.2500  2 Si 2.77
Si: 0.0000 0.2063 0.7500  6 Dy 2.77-3.02
Te: 0.0000 0.4112 0.7500  8 Dy 3.11-3.30

Formation energy (no corrections) = -761 meV/atom
Total magnetization = 0.0510 μB per atom
Density = 7.7 g cm⁻³



[9]
A geometry-optimized DyThSi2 structure, computed with GGA-PBE.

Lattice parameters (Å, degrees): 4.5917 4.5917 16.1615 90.00 90.00 120.00
With the nearest neighbours (Å) after each atom.
Space group R-3m (No. 166, hexagonal axes)
Symmetry-distinct sites (fractional):
Dy: 0.0000 0.0000 0.0000  6 Si 2.92
Th: 0.0000 0.0000 0.5000  6 Si 3.03
Si: 0.0000 0.0000 0.2577  3 Dy 2.92, 3 Th 3.03

ΔE to the lowest computed polymorph = 0.206 eV/atom
Formation energy (no corrections) = -523 meV/atom
Total magnetization = 0.0000 μB per atom
Density = 7.6 g cm⁻³



[10]
A geometry-optimized DyThSi structure, computed with GGA-PBE.

Lattice parameters (Å, degrees): 6.9365 6.9365 6.9365 90.00 90.00 90.00
With the nearest neighbours (Å) after each atom.
Space group F-43m (No. 216)
Symmetry-distinct sites (fractional):
Dy: 0.0000 0.0000 0.0000  4 Si 3.00
Th: 0.0000 0.0000 0.5000  4 Si 3.00
Si: 0.2500 0.2500 0.7500  4 Th 3.00, 4 Dy 3.00

ΔE to the lowest computed polymorph = 0.000 eV/atom
Formation energy (no corrections) = -331 meV/atom
Total magnetization = 0.0001 μB per atom
Density = 8.4 g cm⁻³



[11]
A geometry-optimized DyThSi4 structure, computed with GGA-PBE.

Lattice parameters (Å, degrees): 7.0381 16.6923 4.0525 90.00 90.00 90.00
With the nearest neighbours (Å) after each atom.
Space group Pbam (No. 55)
Symmetry-distinct sites (fractional):
Dy: 0.2494 0.0611 0.0000  12 Si 3.09-3.15
Th: 0.2487 0.3137 0.0000  12 Si 3.10-3.16
Si: 0.0804 0.4384 0.5000  3 Si 2.35-2.39
Si: 0.0816 0.1866 0.5000  3 Si 2.35-2.42
Si: 0.0815 0.9386 0.5000  3 Si 2.35-2.38
Si: 0.0845 0.6864 0.5000  3 Si 2.35-2.42

Formation energy (no corrections) = -575 meV/atom
Total magnetization = 0.0000 μB per atom
Density = 7.1 g cm⁻³



[12]
A geometry-optimized DyTh2Si6 structure, computed with GGA-PBE.

Lattice parameters (Å, degrees): 7.1246 7.1246 4.1109 90.00 90.00 120.00
With the nearest neighbours (Å) after each atom.
Space group P6/mmm (No. 191)
Symmetry-distinct sites (fractional):
Dy: 0.0000 0.0000 0.0000  12 Si 3.13
Th: 0.3333 0.6667 0.0000  12 Si 3.14
Si: 0.0000 0.3320 0.5000  3 Si 2.37-2.39

Formation energy (no corrections) = -589 meV/atom
Total magnetization = 0.0000 μB per atom
Density = 7.3 g cm⁻³